This record from Alexandria via LeMat-Bulk describes a geometry-optimized LiThSiRh structure. The functional is PBE.

```
data_LiThSiRh
_chemical_formula_sum 'Li4 Th4 Si4 Rh4'
_symmetry_space_group_name_H-M 'F -4 3 m'
_symmetry_Int_Tables_number 216
_symmetry_space_group_name_Hall 'F -4 2 3'
_cell_length_a 6.6094
_cell_length_b 6.6094
_cell_length_c 6.6094
_cell_angle_alpha 90.00
_cell_angle_beta 90.00
_cell_angle_gamma 90.00
loop_
_atom_site_label
_atom_site_type_symbol
_atom_site_fract_x
_atom_site_fract_y
_atom_site_fract_z
Li1 Li 0.0000 0.0000 0.0000
Th1 Th 0.2500 0.2500 0.7500
Si1 Si 0.2500 0.2500 0.2500
Rh1 Rh 0.0000 0.0000 0.5000
```

Output
total DFT energy (no corrections)	-6.127	eV/atom
M_tot	0.000	μB/atom
uncorrected formation energy	-600	meV/atom